The following is a DFT calculation (GGA-PBE) of crystalline ZnMo2P at its relaxed geometry.

Geometry as extended XYZ:
```
4
Lattice="-0.467 2.194 -4.375 -0.496 -4.221 2.473 -4.190 1.068 0.983" Properties=species:S:1:pos:R:3 pbc="T T T"
Zn -2.575 -0.136 -0.827
Mo -0.469 1.703 -3.851
Mo -2.582 -1.842 0.995
P -0.490 -2.918 1.081
```

Properties
Total DFT energy (no corrections)   -7.0503 eV/atom
Energy of formation from the pure elements   0.04 eV/atom
V   15.300 Å³ per atom
Excess energy over the best structure of this formula in the dataset   96.9 meV/atom

The following is a DFT calculation (GGA-PBE) of crystalline Tm3ThPt12 at its relaxed geometry.

Geometry as extended XYZ:
```
16
Lattice="-0.941 -3.900 0.986 2.131 -1.342 -3.275 13.609 -0.948 9.242" Properties=species:S:1:pos:R:3 pbc="T T T"
Tm 3.476 -0.242 2.361
Tm 6.805 -0.474 4.621
Tm 10.133 -0.706 6.881
Th 0.000 0.000 0.000
Pt 0.595 -2.621 -1.145
Pt 4.056 -2.862 1.206
Pt 7.399 -3.095 3.476
Pt 10.743 -3.328 5.747
Pt 1.308 -2.074 1.700
Pt 4.668 -2.308 3.983
Pt 8.000 -2.540 6.245
Pt 11.360 -2.774 8.527
Pt 2.843 -0.795 -0.430
Pt 6.204 -1.029 1.852
Pt 9.536 -1.261 4.115
Pt 12.896 -1.495 6.397
```

Properties
Total DFT energy (no corrections)   -6.9329 eV/atom
Energy of formation from the pure elements   -1.10 eV/atom
V   17.577 Å³ per atom

The following is a DFT calculation (GGA-PBE) of crystalline HfAl2HgMo at its relaxed geometry.

Geometry as extended XYZ:
```
5
Lattice="-0.379 -4.338 2.986 -2.726 -2.090 -3.383 4.339 -1.954 -2.289" Properties=species:S:1:pos:R:3 pbc="T T T"
Mo -1.363 -1.045 -1.692
Hf 0.000 0.000 0.000
Hg 0.617 -4.191 -1.343
Al 2.169 -0.977 -1.144
Al -0.189 -2.169 1.493
```

Properties
Total DFT energy (no corrections)   -4.4497 eV/atom
Energy of formation from the pure elements   1.26 eV/atom
V   26.885 Å³ per atom

The following is a DFT calculation (GGA-PBE) of crystalline Pm2P3RuRh12 at its relaxed geometry.

Geometry as extended XYZ:
```
18
Lattice="6.944 -0.866 -0.614 2.677 6.466 -0.614 2.677 1.558 6.305" Properties=species:S:1:pos:R:3 pbc="T T T"
Pm 7.457 4.341 3.079
Pm 4.840 2.817 1.998
P 3.472 -0.433 -0.307
P 1.338 3.233 -0.307
P 1.338 0.779 3.153
Ru 0.000 0.000 0.000
Rh 5.626 3.275 5.357
Rh 9.155 5.329 1.244
Rh 7.074 6.511 4.618
Rh 8.116 1.861 1.320
Rh 9.155 2.936 4.618
Rh 5.626 6.138 1.320
Rh 6.672 3.883 -0.280
Rh 3.143 1.829 3.833
Rh 5.224 0.647 0.459
Rh 4.182 5.298 3.757
Rh 3.143 4.223 0.459
Rh 6.672 1.020 3.757
```

Properties
Total DFT energy (no corrections)   -6.9518 eV/atom
Energy of formation from the pure elements   -0.11 eV/atom
V   17.436 Å³ per atom

The following is a DFT calculation (GGA-PBE) of crystalline Tm4IrRh3 at its relaxed geometry.

Geometry as extended XYZ:
```
8
Lattice="-0.897 -1.568 2.780 2.848 -3.709 -1.174 7.331 4.141 4.702" Properties=species:S:1:pos:R:3 pbc="T T T"
Tm 3.666 2.071 2.351
Tm 6.927 1.254 2.943
Tm 0.000 0.000 0.000
Tm 3.253 -0.822 0.586
Rh 1.395 0.257 2.573
Rh 4.641 -0.568 3.154
Rh 5.039 2.316 4.910
Ir 0.975 -2.639 0.803
```

Properties
Total DFT energy (no corrections)   -7.0610 eV/atom
Energy of formation from the pure elements   -0.96 eV/atom
V   19.272 Å³ per atom

The following is a DFT calculation (GGA-PBE) of crystalline GaTcRuW at its relaxed geometry.

Geometry as extended XYZ:
```
4
Lattice="4.366 0.000 0.000 2.183 3.781 0.000 2.183 1.260 3.565" Properties=species:S:1:pos:R:3 pbc="T T T"
Ru 2.183 1.260 0.891
Ga 0.000 0.000 0.000
Tc 6.549 3.781 2.673
W 4.366 2.521 1.782
```

Properties
Total DFT energy (no corrections)   -9.0980 eV/atom
Energy of formation from the pure elements   -0.19 eV/atom
V   14.710 Å³ per atom

The following is a DFT calculation (GGA-PBE) of crystalline Ca2BiPb at its relaxed geometry.

Geometry as extended XYZ:
```
4
Lattice="0.000 3.964 3.964 3.964 0.000 3.964 3.964 3.964 0.000" Properties=species:S:1:pos:R:3 pbc="T T T"
Pb 0.000 0.000 0.000
Ca 1.982 1.982 1.982
Ca 5.946 5.946 5.946
Bi 3.964 3.964 3.964
```

Properties
Total DFT energy (no corrections)   -3.4805 eV/atom
Energy of formation from the pure elements   -0.58 eV/atom
V   31.146 Å³ per atom
Excess energy over the best structure of this formula in the dataset   41.8 meV/atom

The following is a DFT calculation (GGA-PBE) of crystalline BiS2NO at its relaxed geometry.

Geometry as extended XYZ:
```
5
Lattice="5.292 0.000 0.000 0.000 5.292 0.000 0.000 0.000 4.631" Properties=species:S:1:pos:R:3 pbc="T T T"
S 0.000 2.646 0.000
S 2.646 0.000 0.000
Bi 0.000 0.000 0.000
O 2.646 2.646 2.315
N 0.000 0.000 2.315
```

Properties
Total DFT energy (no corrections)   -3.4075 eV/atom
Formation energy without anion corrections   1676 meV per atom
V   25.939 Å³ per atom
Excess energy over the best structure of this formula in the dataset   552.6 meV/atom